(1)
## HfSbTe2F (meta-GGA SCAN)

Data for a crystal of HfSbTe2F relaxed with PBEsol.

Values from the calculation:
- space group = No. 123
- calculated density (kg/m3) = 8351
- energy (eV per atom) = -35.581
- formation energy from raw total energies (meV per atom) = 14.3
- total magnetization (μB/f.u.) = 0.00

a = 4.3462 Å, b = 5.1267 Å, c = 5.1267 Å
α = 90.00°, β = 90.00°, γ = 90.00°
Closest atoms and distances in Å follow each position.
Sites, in units of the cell vectors:
Sb: 0.5000 0.0000 0.0000  2 F 2.17
Te: 0.0000 0.0000 0.5000  2 F 2.56
Te: 0.0000 0.5000 0.0000  2 F 2.56
Hf: 0.5000 0.5000 0.5000  8 Te 3.36, 4 Sb 3.63
F: 0.0000 0.0000 0.0000  2 Sb 2.17



(2)
## BeAl2Mo (meta-GGA SCAN)

Data for a crystal of BeAl2Mo relaxed with PBEsol.

Values from the calculation:
- space group = No. 166
- ΔH_f (0 K) (kJ per mole of atoms) = 11
- calculated density (kg/m3) = 4672
- energy (eV per atom) = -13.570
- total magnetization (μB/f.u.) = 0.03

a = 2.7811 Å, b = 2.7811 Å, c = 8.5840 Å
α = 80.68°, β = 80.68°, γ = 60.00°
Closest atoms and distances in Å follow each position.
Sites, in units of the cell vectors:
Be: 0.5000 0.5000 0.5000  6 Al 2.55, 6 Be 2.78
Mo: 0.0000 0.0000 0.0000  6 Al 2.75, 6 Mo 2.78
Al: 0.2449 0.2449 0.2653  3 Be 2.55, 3 Mo 2.75, 6 Al 2.78
Al: 0.7551 0.7551 0.7347  3 Be 2.55, 3 Mo 2.75, 6 Al 2.78



(3)
## BeSi2Pd2 (meta-GGA SCAN)

Data for a crystal of BeSi2Pd2 relaxed with PBEsol.

Values from the calculation:
- space group = No. 127
- calculated density (kg/m3) = 6631
- energy (eV per atom) = -18.101
- formation energy from raw total energies (meV per atom) = -114.3
- total magnetization (μB/f.u.) = 0.00

a = 3.7766 Å, b = 6.0719 Å, c = 6.0719 Å
α = 90.00°, β = 90.00°, γ = 90.00°
Closest atoms and distances in Å follow each position.
Sites, in units of the cell vectors:
Be: 0.0000 0.0000 0.0000  4 Pd 2.27
Be: 0.0000 0.5000 0.5000  4 Pd 2.27
Si: 0.5000 0.1471 0.6471  6 Pd 2.48-2.68, 1 Si 2.53
Si: 0.5000 0.6471 0.8529  6 Pd 2.48-2.68, 1 Si 2.53
Si: 0.5000 0.8529 0.3529  6 Pd 2.48-2.68, 1 Si 2.53
Si: 0.5000 0.3529 0.1471  6 Pd 2.48-2.68, 1 Si 2.53
Pd: 0.0000 0.3348 0.8348  2 Be 2.27, 2 Si 2.48
Pd: 0.0000 0.8348 0.6652  2 Be 2.27, 2 Si 2.48
Pd: 0.0000 0.6652 0.1652  2 Be 2.27, 2 Si 2.48
Pd: 0.0000 0.1652 0.3348  2 Be 2.27, 2 Si 2.48



no.,density of states at the Fermi level (states/eV/cell)
1,3.53
2,1.80
3,3.64